(P)
# LiLuCoSi (PBE-GGA, relaxed)
data_LiLuCoSi
_cell_length_a 6.184
_cell_length_b 6.184
_cell_length_c 6.184
_cell_angle_alpha 90.00
_cell_angle_beta 90.00
_cell_angle_gamma 90.00
_space_group_name_H-M_alt 'F -4 3 m'
_space_group_IT_number 216
_space_group_name_Hall 'F -4 2 3'
loop_
_atom_site_label
_atom_site_fract_x
_atom_site_fract_y
_atom_site_fract_z
Li1 0.000 0.000 0.000
Lu1 0.250 0.250 0.250
Co1 0.250 0.250 0.750
Si1 0.000 0.000 0.500
# Size of the total moment   0.06 μB/f.u.



(Q)
# LiLuCoSi (PBE-GGA, relaxed)
data_LiLuCoSi
_cell_length_a 6.092
_cell_length_b 6.092
_cell_length_c 6.092
_cell_angle_alpha 90.00
_cell_angle_beta 90.00
_cell_angle_gamma 90.00
_space_group_name_H-M_alt 'F -4 3 m'
_space_group_IT_number 216
_space_group_name_Hall 'F -4 2 3'
loop_
_atom_site_label
_atom_site_fract_x
_atom_site_fract_y
_atom_site_fract_z
Li1 0.000 0.000 0.000
Lu1 0.250 0.250 0.750
Co1 0.000 0.000 0.500
Si1 0.250 0.250 0.250
# Size of the total moment   0.58 μB/f.u.



Stability check: which of them is most stable? (Q).



(P)
# LiLuTaCo (PBE-GGA, relaxed)
data_LiLuTaCo
_cell_length_a 6.347
_cell_length_b 6.347
_cell_length_c 6.347
_cell_angle_alpha 90.00
_cell_angle_beta 90.00
_cell_angle_gamma 90.00
_space_group_name_H-M_alt 'F -4 3 m'
_space_group_IT_number 216
_space_group_name_Hall 'F -4 2 3'
loop_
_atom_site_label
_atom_site_fract_x
_atom_site_fract_y
_atom_site_fract_z
Li1 0.000 0.000 0.000
Lu1 0.250 0.250 0.250
Ta1 0.000 0.000 0.500
Co1 0.250 0.250 0.750
# Size of the total moment   0.00 μB/f.u.



(Q)
# LiLuTaCo (PBE-GGA, relaxed)
data_LiLuTaCo
_cell_length_a 6.381
_cell_length_b 6.381
_cell_length_c 6.381
_cell_angle_alpha 90.00
_cell_angle_beta 90.00
_cell_angle_gamma 90.00
_space_group_name_H-M_alt 'F -4 3 m'
_space_group_IT_number 216
_space_group_name_Hall 'F -4 2 3'
loop_
_atom_site_label
_atom_site_fract_x
_atom_site_fract_y
_atom_site_fract_z
Li1 0.000 0.000 0.000
Lu1 0.250 0.250 0.250
Ta1 0.250 0.250 0.750
Co1 0.000 0.000 0.500
# Size of the total moment   0.05 μB/f.u.



Stability check: which of them is most stable? (Q).



(P)
# LiMgCoW (PBE-GGA, relaxed)
data_LiMgCoW
_cell_length_a 6.015
_cell_length_b 6.015
_cell_length_c 6.015
_cell_angle_alpha 90.00
_cell_angle_beta 90.00
_cell_angle_gamma 90.00
_space_group_name_H-M_alt 'F -4 3 m'
_space_group_IT_number 216
_space_group_name_Hall 'F -4 2 3'
loop_
_atom_site_label
_atom_site_fract_x
_atom_site_fract_y
_atom_site_fract_z
Li1 0.000 0.000 0.000
Mg1 0.250 0.250 0.750
Co1 0.250 0.250 0.250
W1 0.000 0.000 0.500
# Size of the total moment   0.00 μB/f.u.



(Q)
# LiMgCoW (PBE-GGA, relaxed)
data_LiMgCoW
_cell_length_a 5.964
_cell_length_b 5.964
_cell_length_c 5.964
_cell_angle_alpha 90.00
_cell_angle_beta 90.00
_cell_angle_gamma 90.00
_space_group_name_H-M_alt 'F -4 3 m'
_space_group_IT_number 216
_space_group_name_Hall 'F -4 2 3'
loop_
_atom_site_label
_atom_site_fract_x
_atom_site_fract_y
_atom_site_fract_z
Li1 0.000 0.000 0.000
Mg1 0.250 0.250 0.250
Co1 0.000 0.000 0.500
W1 0.250 0.250 0.750
# Size of the total moment   0.00 μB/f.u.



Stability check: which of them is most stable? (Q).